Record 1
An optimized crystal structure of Sc2AlPbC. Source: Alexandria, functional GGA-PBE.

Cell lengths 4.661, 4.661, 4.083 Å; angles 90.00, 90.00, 90.00 degrees
Atoms (fractional coordinates):
Sc1 0.000 0.500 0.000
Sc2 0.500 0.000 0.000
Al1 0.000 0.000 0.500
Pb1 0.500 0.500 0.500
C1 0.000 0.000 0.000

Output
Formation energy ... -2.019 eV per formula unit
Space group ... P4/mmm
Total moment ... 0.0 Bohr magnetons per cell

Record 2
An optimized crystal structure of Tm4AlPbC. Source: Alexandria, functional GGA-PBE.

Cell lengths 8.436, 8.436, 6.711 Å; angles 90.00, 90.00, 133.10 degrees
Atoms (fractional coordinates):
Tm1 0.000 0.500 0.000
Tm2 0.000 0.500 0.500
Tm3 0.087 0.913 0.750
Tm4 0.408 0.592 0.750
Tm5 0.500 0.000 0.000
Tm6 0.500 0.000 0.500
Tm7 0.592 0.408 0.250
Tm8 0.913 0.087 0.250
Al1 0.116 0.884 0.250
Al2 0.884 0.116 0.750
Pb1 0.391 0.609 0.250
Pb2 0.609 0.391 0.750
C1 0.248 0.752 0.750
C2 0.752 0.248 0.250

Output
Formation energy ... -2.808 eV per formula unit
Space group ... Cmcm
Total moment ... 0.0 Bohr magnetons per cell

Record 3
An optimized crystal structure of Y2AlPbC. Source: Alexandria, functional GGA-PBE.

Cell lengths 5.037, 5.037, 4.134 Å; angles 90.00, 90.00, 90.00 degrees
Atoms (fractional coordinates):
Y1 0.000 0.500 0.000
Y2 0.500 0.000 0.000
Al1 0.000 0.000 0.500
Pb1 0.500 0.500 0.500
C1 0.000 0.000 0.000

Output
Formation energy ... -1.899 eV per formula unit
Space group ... P4/mmm
Total moment ... 0.0 Bohr magnetons per cell

Record 4
An optimized crystal structure of ZrAlPb2C. Source: Alexandria, functional GGA-PBE.

Cell lengths 5.050, 5.050, 4.474 Å; angles 90.00, 90.00, 90.00 degrees
Atoms (fractional coordinates):
Zr1 0.000 0.000 0.000
Al1 0.500 0.500 0.000
Pb1 0.000 0.500 0.500
Pb2 0.500 0.000 0.500
C1 0.000 0.000 0.500

Output
Formation energy ... 3.101 eV per formula unit
Polymorph energy (0 for the lowest one) ... 0.0 meV per atom
Space group ... P4/mmm
Total moment ... 0.0 Bohr magnetons per cell

Record 5
An optimized crystal structure of ZrAlPb2C. Source: Alexandria, functional GGA-PBE.

Cell lengths 5.710, 5.710, 3.585 Å; angles 90.00, 90.00, 90.00 degrees
Atoms (fractional coordinates):
Zr1 0.000 0.000 0.000
Al1 0.500 0.500 0.500
Pb1 0.000 0.500 0.500
Pb2 0.500 0.000 0.500
C1 0.500 0.500 0.000

Output
Formation energy ... 4.491 eV per formula unit
Polymorph energy (0 for the lowest one) ... 278.1 meV per atom
Space group ... P4/mmm
Total moment ... 0.0 Bohr magnetons per cell

Record 6
An optimized crystal structure of Al3PdC. Source: Alexandria, functional GGA-PBE.

Cell lengths 4.031, 4.031, 4.031 Å; angles 90.00, 90.00, 90.00 degrees
Atoms (fractional coordinates):
Al1 0.000 0.000 0.500
Al2 0.000 0.500 0.000
Al3 0.500 0.000 0.000
Pd1 0.500 0.500 0.500
C1 0.000 0.000 0.000

Output
Formation energy ... -0.169 eV per formula unit
Polymorph energy (0 for the lowest one) ... 0.0 meV per atom
Space group ... Pm-3m
Total moment ... 0.0 Bohr magnetons per cell